{"formula": "CdFeP2", "functional": "PBE", "state": "relaxed", "cell": [[-5.375, 0.254, -1.178], [1.062, -1.553, -5.177], [-2.706, -5.721, -1.769]], "species": ["P", "Cd", "Fe", "Fe", "P", "Cd", "P", "P"], "frac_coords": [[0.545, 0.125, 0.250], [0.000, 0.000, 0.000], [0.500, 0.500, 0.000], [0.250, 0.750, 0.500], [0.205, 0.625, 0.250], [0.750, 0.250, 0.500], [0.375, 0.455, 0.750], [0.875, 0.795, 0.750]], "final_energy_ev_per_atom": -5.00, "crystal_system": "tetragonal"}


{"formula": "CdFeP2", "functional": "PBE", "state": "relaxed", "cell": [[-5.063, -4.574, 0.155], [-2.980, -4.533, 4.142], [2.400, 6.095, -1.916]], "species": ["P", "P", "Cd", "Fe"], "frac_coords": [[0.078, 0.078, 0.000], [0.770, 0.270, 0.500], [0.438, 0.438, 0.000], [0.214, 0.714, 0.500]], "final_energy_ev_per_atom": -4.98, "crystal_system": "orthorhombic"}


{"formula": "Cd2FeP", "functional": "PBE", "state": "relaxed", "cell": [[-6.326, 5.200, 3.666], [-2.473, -6.773, 5.340], [-2.973, -0.116, 6.014]], "species": ["Fe", "Cd", "Fe", "P", "Cd", "P", "Cd", "Cd"], "frac_coords": [[0.000, 0.000, 0.000], [0.520, 0.125, 0.250], [0.750, 0.250, 0.500], [0.500, 0.500, 0.000], [0.230, 0.625, 0.250], [0.250, 0.750, 0.500], [0.375, 0.480, 0.750], [0.875, 0.770, 0.750]], "final_energy_ev_per_atom": -3.58, "crystal_system": "tetragonal"}


{"formula": "CdFeP2Ru", "functional": "PBE", "state": "relaxed", "cell": [[4.251, 0.000, 0.000], [0.000, 4.720, 0.000], [0.000, 0.000, 4.251]], "species": ["Cd", "P", "P", "Fe", "Ru"], "frac_coords": [[0.500, 0.500, 0.500], [0.500, 0.000, 0.000], [0.000, 0.000, 0.500], [0.000, 0.000, 0.000], [0.000, 0.500, 0.000]], "final_energy_ev_per_atom": -5.25, "crystal_system": "tetragonal"}


Repeat the third record exactly.
{"formula": "Cd2FeP", "functional": "PBE", "state": "relaxed", "cell": [[-6.326, 5.200, 3.666], [-2.473, -6.773, 5.340], [-2.973, -0.116, 6.014]], "species": ["Fe", "Cd", "Fe", "P", "Cd", "P", "Cd", "Cd"], "frac_coords": [[0.000, 0.000, 0.000], [0.520, 0.125, 0.250], [0.750, 0.250, 0.500], [0.500, 0.500, 0.000], [0.230, 0.625, 0.250], [0.250, 0.750, 0.500], [0.375, 0.480, 0.750], [0.875, 0.770, 0.750]], "final_energy_ev_per_atom": -3.58, "crystal_system": "tetragonal"}